# Ba12Na3Br5, optimized geometry, DFT PBE
# * crystal system: cubic
data_Ba12Na3Br5
_space_group_name_H-M_alt 'I a -3 d'
_space_group_IT_number 230
_space_group_name_Hall '-I 4bd 2c 3'
_cell_length_a 20.8106
_cell_length_b 20.8106
_cell_length_c 20.8106
_cell_angle_alpha 90.00
_cell_angle_beta 90.00
_cell_angle_gamma 90.00
loop_
_atom_site_label
_atom_site_fract_x
_atom_site_fract_y
_atom_site_fract_z
Ba1 0.0326 0.0641 0.6474
Na1 0.0000 0.2500 0.1250
Br1 0.0000 0.0000 0.0000
Br2 0.0000 0.2500 0.3750


# Ba5Na2Br12, optimized geometry, DFT PBE
# * crystal system: monoclinic
data_Ba5Na2Br12
_space_group_name_H-M_alt 'C 1 2/m 1'
_space_group_IT_number 12
_space_group_name_Hall '-C 2y'
_cell_length_a 18.0253
_cell_length_b 8.2734
_cell_length_c 10.5431
_cell_angle_alpha 90.00
_cell_angle_beta 107.17
_cell_angle_gamma 90.00
loop_
_atom_site_label
_atom_site_fract_x
_atom_site_fract_y
_atom_site_fract_z
Ba1 0.0000 0.0000 0.0000
Ba2 0.1836 0.5000 0.3453
Ba3 0.1897 0.5000 0.8444
Na1 0.0000 0.2339 0.5000
Br1 0.0022 0.5000 0.7064
Br2 0.0104 0.0000 0.3004
Br3 0.1548 0.2518 0.0718
Br4 0.1731 0.2605 0.5930


# BaNaBr3, optimized geometry, DFT PBE
# * crystal system: monoclinic
# * polymorph energy (0 for the lowest one): 8 kJ/mol of formula units
data_BaNaBr3
_space_group_name_H-M_alt 'P 1 21/m 1'
_space_group_IT_number 11
_space_group_name_Hall '-P 2yb'
_cell_length_a 7.7428
_cell_length_b 5.3206
_cell_length_c 10.6934
_cell_angle_alpha 90.00
_cell_angle_beta 100.37
_cell_angle_gamma 90.00
loop_
_atom_site_label
_atom_site_fract_x
_atom_site_fract_y
_atom_site_fract_z
Ba1 0.2107 0.2500 0.3781
Na1 0.4297 0.2500 0.8535
Br1 0.0661 0.2500 0.6602
Br2 0.3746 0.2500 0.1111
Br3 0.4484 0.7500 0.3837


# BaNa3Br, optimized geometry, DFT PBE
# * crystal system: cubic
# * polymorph energy (0 for the lowest one): 343 kJ/mol of formula units
data_BaNa3Br
_space_group_name_H-M_alt 'P m -3 m'
_space_group_IT_number 221
_space_group_name_Hall '-P 4 2 3'
_cell_length_a 7.3806
_cell_length_b 7.3806
_cell_length_c 7.3806
_cell_angle_alpha 90.00
_cell_angle_beta 90.00
_cell_angle_gamma 90.00
loop_
_atom_site_label
_atom_site_fract_x
_atom_site_fract_y
_atom_site_fract_z
Ba1 0.0000 0.0000 0.0000
Na1 0.0000 0.0000 0.5000
Br1 0.5000 0.5000 0.5000


# Ba2NaBr, optimized geometry, DFT PBE
# * crystal system: cubic
# * polymorph energy (0 for the lowest one): 77 kJ/mol of formula units
data_Ba2NaBr
_space_group_name_H-M_alt 'F m -3 m'
_space_group_IT_number 225
_space_group_name_Hall '-F 4 2 3'
_cell_length_a 8.9278
_cell_length_b 8.9278
_cell_length_c 8.9278
_cell_angle_alpha 90.00
_cell_angle_beta 90.00
_cell_angle_gamma 90.00
loop_
_atom_site_label
_atom_site_fract_x
_atom_site_fract_y
_atom_site_fract_z
Ba1 0.2500 0.2500 0.2500
Na1 0.0000 0.0000 0.0000
Br1 0.0000 0.0000 0.5000


# BaNaNdBr6, optimized geometry, DFT PBE
# * crystal system: trigonal
data_BaNaNdBr6
_space_group_name_H-M_alt 'P -3 1 c'
_space_group_IT_number 163
_space_group_name_Hall '-P 3 2c'
_cell_length_a 7.6073
_cell_length_b 7.6073
_cell_length_c 13.9737
_cell_angle_alpha 90.00
_cell_angle_beta 90.00
_cell_angle_gamma 120.00
loop_
_atom_site_label
_atom_site_fract_x
_atom_site_fract_y
_atom_site_fract_z
Ba1 0.0000 0.0000 0.0000
Na1 0.3333 0.6667 0.2500
Nd1 0.3333 0.6667 0.7500
Br1 0.0097 0.3609 0.6317


# BaNa2NpBr8, optimized geometry, DFT PBE
# * crystal system: monoclinic
data_BaNa2NpBr8
_space_group_name_H-M_alt 'P 1 2/m 1'
_space_group_IT_number 10
_space_group_name_Hall '-P 2y'
_cell_length_a 6.9639
_cell_length_b 9.3531
_cell_length_c 7.0832
_cell_angle_alpha 90.00
_cell_angle_beta 91.16
_cell_angle_gamma 90.00
loop_
_atom_site_label
_atom_site_fract_x
_atom_site_fract_y
_atom_site_fract_z
Ba1 0.0000 0.0000 0.0000
Na1 0.5000 0.2370 0.5000
Np1 0.0000 0.5000 0.0000
Br1 0.2221 0.2868 0.8348
Br2 0.2505 0.5000 0.3083
Br3 0.2799 0.0000 0.3489


# BaNaNpBr6, optimized geometry, DFT PBE
# * crystal system: trigonal
data_BaNaNpBr6
_space_group_name_H-M_alt 'P -3 1 c'
_space_group_IT_number 163
_space_group_name_Hall '-P 3 2c'
_cell_length_a 7.5989
_cell_length_b 7.5989
_cell_length_c 13.9712
_cell_angle_alpha 90.00
_cell_angle_beta 90.00
_cell_angle_gamma 120.00
loop_
_atom_site_label
_atom_site_fract_x
_atom_site_fract_y
_atom_site_fract_z
Ba1 0.0000 0.0000 0.0000
Na1 0.3333 0.6667 0.2500
Np1 0.3333 0.6667 0.7500
Br1 0.0102 0.3600 0.6327


# Ba2Na4Br3O2, optimized geometry, DFT PBE
# * crystal system: tetragonal
data_Ba2Na4Br3O2
_space_group_name_H-M_alt 'I 4/m m m'
_space_group_IT_number 139
_space_group_name_Hall '-I 4 2'
_cell_length_a 4.6085
_cell_length_b 4.6085
_cell_length_c 29.3598
_cell_angle_alpha 90.00
_cell_angle_beta 90.00
_cell_angle_gamma 90.00
loop_
_atom_site_label
_atom_site_fract_x
_atom_site_fract_y
_atom_site_fract_z
Ba1 0.0000 0.0000 0.1750
Na1 0.0000 0.5000 0.0697
Br1 0.0000 0.0000 0.3027
Br2 0.0000 0.0000 0.5000
O1 0.0000 0.0000 0.0936


# Ba2Na3Br3O2, optimized geometry, DFT PBE
# * crystal system: tetragonal
data_Ba2Na3Br3O2
_space_group_name_H-M_alt 'I 4/m m m'
_space_group_IT_number 139
_space_group_name_Hall '-I 4 2'
_cell_length_a 5.0206
_cell_length_b 5.0206
_cell_length_c 23.3487
_cell_angle_alpha 90.00
_cell_angle_beta 90.00
_cell_angle_gamma 90.00
loop_
_atom_site_label
_atom_site_fract_x
_atom_site_fract_y
_atom_site_fract_z
Ba1 0.0000 0.5000 0.2500
Na1 0.0000 0.0000 0.0000
Na2 0.0000 0.0000 0.3804
Br1 0.0000 0.0000 0.1246
Br2 0.0000 0.0000 0.5000
O1 0.0000 0.0000 0.2858


# BaNaBr2O6, optimized geometry, DFT PBE
# * crystal system: monoclinic
data_BaNaBr2O6
_space_group_name_H-M_alt 'C 1 2/c 1'
_space_group_IT_number 15
_space_group_name_Hall '-C 2yc'
_cell_length_a 8.5608
_cell_length_b 12.2357
_cell_length_c 7.2848
_cell_angle_alpha 90.00
_cell_angle_beta 107.58
_cell_angle_gamma 90.00
loop_
_atom_site_label
_atom_site_fract_x
_atom_site_fract_y
_atom_site_fract_z
Ba1 0.0000 0.2152 0.2500
Na1 0.0000 0.4544 0.7500
Br1 0.1857 0.0956 0.8198
O1 0.0969 0.3884 0.0763
O2 0.1646 0.1934 0.6439
O3 0.1919 0.0320 0.2234


# BaNaPuBr6, optimized geometry, DFT PBE
# * crystal system: trigonal
data_BaNaPuBr6
_space_group_name_H-M_alt 'P -3 1 c'
_space_group_IT_number 163
_space_group_name_Hall '-P 3 2c'
_cell_length_a 7.5975
_cell_length_b 7.5975
_cell_length_c 13.9148
_cell_angle_alpha 90.00
_cell_angle_beta 90.00
_cell_angle_gamma 120.00
loop_
_atom_site_label
_atom_site_fract_x
_atom_site_fract_y
_atom_site_fract_z
Ba1 0.0000 0.0000 0.0000
Na1 0.3333 0.6667 0.2500
Pu1 0.3333 0.6667 0.7500
Br1 0.0113 0.3612 0.6329


Per-record D(E_F), states/eV per atom: 1.1211 0.0000 0.0000 0.0645 1.2822 0.0000 0.3939 1.1043 0.1939 0.0000 0.1008 1.4586
Per-record formation energy (no corrections), eV per atom: -0.638 -2.037 -1.886 0.341 -0.514 -1.900 -1.544 -1.645 -1.596 -1.838 -0.712 -1.734